The following is a DFT calculation (PBE) of a relaxed Ba2MnHg crystal. Values from VASP.

- energy of formation from the pure elements (eV/atom) = 0.106
- offset from the most stable computed form (kJ/mol of atoms) = 6.2
- D(E_F) (states/eV per cell) = 3.79
- space group = Imm2 (44)
- crystal system = orthorhombic

Cell and atoms, written as Quantum ESPRESSO input:
```
&SYSTEM
  ibrav = 0, nat = 4, ntyp = 3
/
ATOMIC_SPECIES
Ba 137.33 Ba.upf
Hg 200.59 Hg.upf
Mn 54.94 Mn.upf
ATOMIC_POSITIONS angstrom
Ba 12.380 3.861 0.401
Ba 11.424 3.563 3.997
Hg 7.889 2.460 2.532
Mn 3.190 0.995 1.626
CELL_PARAMETERS angstrom
6.919 -0.019 0.148
5.682 3.949 0.148
2.254 0.703 5.211
```